[1]
Crystalline Dy8Sn2Pb at its relaxed geometry, computed with PBE-GGA.

```
Dy8Sn2Pb
1.0
-2.845 2.738 3.122
2.911 -3.144 5.409
7.257 6.406 -3.063
Sn Pb Dy
2 1 8
Direct
0.182 0.760 0.364
0.818 0.240 0.636
0.500 0.000 0.000
0.024 0.760 0.048
0.976 0.240 0.952
0.340 0.996 0.680
0.217 0.330 0.434
0.407 0.520 0.814
0.783 0.670 0.566
0.660 0.004 0.320
0.593 0.480 0.186
```

Computed properties:
The energy of formation from the pure elements is -32 kJ/mol of atoms.

***

[2]
Crystalline TbDySnPb at its relaxed geometry, computed with PBE-GGA.

```
TbDySnPb
1.0
5.413 0.000 0.000
2.706 4.688 0.000
2.706 1.563 4.420
Dy Pb Tb Sn
1 1 1 1
Direct
0.500 0.500 0.500
0.750 0.750 0.750
0.000 0.000 0.000
0.250 0.250 0.250
```

Computed properties:
The energy of formation from the pure elements is -45 kJ/mol of atoms.

***

[3]
Crystalline Dy6Sn2Te3Pb at its relaxed geometry, computed with PBE-GGA.

```
Dy6Sn2Te3Pb
1.0
4.403 0.000 0.000
0.000 8.804 0.285
-2.202 -2.569 9.254
Dy Sn Te Pb
6 2 3 1
Direct
0.670 0.575 0.340
0.665 0.092 0.331
0.003 0.246 0.006
0.997 0.754 0.994
0.335 0.908 0.669
0.330 0.425 0.660
0.167 0.333 0.333
0.833 0.667 0.667
0.500 0.500 0.000
0.834 0.167 0.667
0.166 0.833 0.333
0.500 0.000 0.000
```

Computed properties:
The formation energy from raw total energies is -1.00 eV/atom.

***

| no. | E (eV per atom) |
| --- | --- |
| 1 | -4.745 |
| 2 | -4.703 |
| 3 | -5.067 |